Below is ScP2CO at its PBEsol-relaxed geometry, with properties calculated at the meta-GGA SCAN level.

Output
As for the calculated total energy: -0.3694 hartree per atom.

Cell lengths 3.6385, 3.6385, 4.7075 Å; angles 90.00, 90.00, 90.00 degrees
Last column: nearest neighbours and their distance in Å.
Space group P4/mmm (No. 123)
Unique sites:
Sc  0.0000  0.0000  0.0000  4 O 2.57
P  0.0000  0.5000  0.5000  2 C 1.82
C  0.5000  0.5000  0.5000  4 P 1.82
O  0.5000  0.5000  0.0000  2 C 2.35, 4 Sc 2.57